This record from Alexandria describes a geometry-optimized ErGa4Pt6 structure. The functional is PBE.

Cell: 6.6460 6.6460 9.3951 Å, 90.00 90.00 90.00°
Closest atoms and distances in Å follow each position.
Space group I-42m (No. 121)
One atom of each set of equivalent atoms:
Er (0.0000, 0.0000, 0.0000) x2  4 Ga 3.20, 8 Pt 3.32
Ga (0.2056, 0.2056, 0.3288) x8  4 Pt 2.40-2.67
Pt (0.0000, 0.5000, 0.0000) x4  4 Pt 2.69, 4 Ga 2.88
Pt (0.1638, 0.1638, 0.6094) x8  4 Ga 2.40-2.67

The total DFT energy (no corrections) comes out at -0.3908 Ry per atom. The calculation puts the magnetic moment at 0.00 μB/atom. For the density, the calculation gives 12.9 g/cm³.

This record from Alexandria describes a geometry-optimized Al2TcNi structure. The functional is PBE.

Cell: 2.7841 2.7841 25.0931 Å, 90.00 90.00 120.00°
Closest atoms and distances in Å follow each position.
Space group R3m (No. 160, hexagonal axes)
One atom of each set of equivalent atoms:
Al (0.0000, 0.0000, 0.0000) x3  3 Tc 2.68, 9 Al 2.78-2.80
Al (0.0000, 0.0000, 0.2418) x3  3 Ni 2.50, 6 Al 2.78
Tc (0.0000, 0.0000, 0.7522) x3  3 Ni 2.57, 3 Al 2.68, 6 Tc 2.78
Ni (0.0000, 0.0000, 0.4989) x3  3 Al 2.50, 3 Tc 2.57, 6 Ni 2.78

The total DFT energy (no corrections) comes out at -0.4439 Ry per atom. The calculation puts the magnetic moment at 0.00 μB/atom. For the density, the calculation gives 6.2 g/cm³.